{
  "formula": "La2TbHo6",
  "functional": "GGA-PBE",
  "state": "optimized geometry",
  "lattice": [[-5.909, -0.909, -0.112], [0.714, -5.374, 5.384], [-0.444, 1.897, 7.388]],
  "species": ["La", "La", "Ho", "Ho", "Ho", "Ho", "Ho", "Ho", "Tb"],
  "fractional_positions": [[0.786, 0.666, 0.666], [0.214, 0.334, 0.334], [0.295, 0.376, 0.812], [0.705, 0.188, 0.624], [0.705, 0.624, 0.188], [0.294, 0.812, 0.812], [0.706, 0.188, 0.188], [0.295, 0.812, 0.376], [0.000, 0.000, 0.000]],
  "final_energy_ev_per_atom": -4.4220,
  "delta_e_f_ev_per_atom": 0.24,
  "e_above_lowest_polymorph_mev_per_atom": 167.0
}

{
  "formula": "La5Tb2Ho",
  "functional": "GGA-PBE",
  "state": "optimized geometry",
  "lattice": [[-2.759, 5.042, -0.750], [-3.893, -4.453, 6.785], [7.260, 5.090, 7.506]],
  "species": ["Tb", "Tb", "Tb", "Tb", "La", "La", "La", "La", "La", "La", "La", "La", "La", "La", "Ho", "Ho"],
  "fractional_positions": [[0.784, 0.568, 0.417], [0.784, 0.568, 0.083], [0.216, 0.432, 0.583], [0.216, 0.432, 0.917], [0.411, 0.823, 0.087], [0.952, 0.905, 0.885], [0.048, 0.095, 0.115], [0.389, 0.779, 0.750], [0.952, 0.905, 0.615], [0.048, 0.095, 0.385], [0.589, 0.177, 0.913], [0.611, 0.221, 0.250], [0.411, 0.823, 0.413], [0.589, 0.177, 0.587], [0.230, 0.460, 0.250], [0.770, 0.540, 0.750]],
  "final_energy_ev_per_atom": -4.6829,
  "delta_e_f_ev_per_atom": 0.13
}

{
  "formula": "La7Tb12Ho",
  "functional": "GGA-PBE",
  "state": "optimized geometry",
  "lattice": [[-7.950, -3.931, 4.335], [0.664, -3.310, -9.276], [8.100, -2.596, 5.008]],
  "species": ["Tb", "Tb", "Tb", "Tb", "Tb", "Tb", "Tb", "Tb", "Tb", "Tb", "Tb", "Tb", "La", "La", "La", "La", "La", "La", "La", "Ho"],
  "fractional_positions": [[0.246, 0.000, 0.754], [0.246, 0.246, 0.492], [0.246, 0.754, 0.000], [0.754, 0.246, 0.000], [0.492, 0.246, 0.246], [0.754, 0.754, 0.508], [0.246, 0.492, 0.246], [0.508, 0.754, 0.754], [0.000, 0.246, 0.754], [0.754, 0.508, 0.754], [0.000, 0.754, 0.246], [0.754, 0.000, 0.246], [0.500, 0.000, 0.000], [0.000, 0.000, 0.500], [0.500, 0.500, 0.500], [0.000, 0.500, 0.500], [0.500, 0.000, 0.500], [0.000, 0.500, 0.000], [0.500, 0.500, 0.000], [0.000, 0.000, 0.000]],
  "final_energy_ev_per_atom": -4.1273,
  "delta_e_f_ev_per_atom": 0.60,
  "e_above_lowest_polymorph_mev_per_atom": 385.8
}

{
  "formula": "La2Tb8Ho",
  "functional": "GGA-PBE",
  "state": "optimized geometry",
  "lattice": [[0.744, 2.386, -4.431], [0.742, -7.097, -3.697], [-9.296, 0.826, 1.805]],
  "species": ["La", "La", "Tb", "Tb", "Tb", "Tb", "Tb", "Tb", "Tb", "Tb", "Ho"],
  "fractional_positions": [[0.773, 0.363, 0.546], [0.227, 0.637, 0.454], [0.956, 0.272, 0.913], [0.044, 0.728, 0.087], [0.589, 0.452, 0.178], [0.866, 0.825, 0.731], [0.319, 0.093, 0.639], [0.681, 0.907, 0.361], [0.134, 0.175, 0.269], [0.411, 0.548, 0.822], [0.500, 0.000, 0.000]],
  "final_energy_ev_per_atom": -4.6543,
  "delta_e_f_ev_per_atom": 0.03,
  "e_above_lowest_polymorph_mev_per_atom": 0.0
}

{
  "formula": "LaTb8Ho5",
  "functional": "GGA-PBE",
  "state": "optimized geometry",
  "lattice": [[8.093, 0.000, -2.444], [-4.198, 6.695, -3.002], [0.304, 0.000, 8.448]],
  "species": ["Tb", "Tb", "Tb", "Tb", "Tb", "Tb", "Tb", "Tb", "Ho", "Ho", "Ho", "Ho", "Ho", "La"],
  "fractional_positions": [[0.072, 0.750, 0.466], [0.678, 0.394, 0.928], [0.921, 0.087, 0.662], [0.166, 0.741, 0.079], [0.575, 0.913, 0.834], [0.338, 0.259, 0.425], [0.534, 0.606, 0.284], [0.716, 0.250, 0.322], [0.042, 0.323, 0.137], [0.815, 0.677, 0.720], [0.500, 0.000, 0.500], [0.280, 0.095, 0.958], [0.863, 0.905, 0.185], [0.250, 0.500, 0.750]],
  "final_energy_ev_per_atom": -4.3919,
  "delta_e_f_ev_per_atom": 0.24
}

{
  "formula": "LaTb6Ho4",
  "functional": "GGA-PBE",
  "state": "optimized geometry",
  "lattice": [[5.767, 0.000, 0.000], [-2.884, 4.811, 0.000], [0.000, 0.000, 25.717]],
  "species": ["Ho", "Ho", "Ho", "Ho", "Ho", "Ho", "Ho", "Ho", "Tb", "Tb", "Tb", "Tb", "Tb", "Tb", "Tb", "Tb", "Tb", "Tb", "Tb", "Tb", "La", "La"],
  "fractional_positions": [[0.847, 0.694, 0.542], [0.153, 0.306, 0.458], [0.541, 0.081, 0.878], [0.153, 0.306, 0.042], [0.847, 0.694, 0.958], [0.459, 0.919, 0.122], [0.459, 0.919, 0.378], [0.541, 0.081, 0.622], [0.801, 0.603, 0.400], [0.500, 0.000, 0.000], [0.131, 0.261, 0.320], [0.869, 0.739, 0.680], [0.500, 0.000, 0.500], [0.801, 0.603, 0.100], [0.131, 0.261, 0.180], [0.199, 0.397, 0.600], [0.535, 0.069, 0.750], [0.199, 0.397, 0.900], [0.465, 0.931, 0.250], [0.869, 0.739, 0.820], [0.801, 0.603, 0.250], [0.199, 0.397, 0.750]],
  "final_energy_ev_per_atom": -4.5140,
  "delta_e_f_ev_per_atom": 0.12,
  "e_above_lowest_polymorph_mev_per_atom": 0.0
}

{
  "formula": "La4TbHo2",
  "functional": "GGA-PBE",
  "state": "optimized geometry",
  "lattice": [[12.251, -3.149, -1.570], [-9.601, 8.235, -1.570], [0.019, 0.037, 6.884]],
  "species": ["La", "La", "La", "La", "La", "La", "La", "La", "Ho", "Ho", "Ho", "Ho", "Tb", "Tb"],
  "fractional_positions": [[0.710, 0.172, 0.860], [0.562, 0.600, 0.140], [0.799, 0.192, 0.407], [0.600, 0.562, 0.640], [0.036, 0.142, 0.593], [0.192, 0.799, 0.907], [0.172, 0.710, 0.360], [0.142, 0.036, 0.093], [0.313, 0.628, 0.957], [0.628, 0.313, 0.457], [0.921, 0.106, 0.043], [0.106, 0.921, 0.543], [0.416, 0.667, 0.500], [0.667, 0.416, 0.000]],
  "final_energy_ev_per_atom": -4.7139,
  "delta_e_f_ev_per_atom": 0.07,
  "e_above_lowest_polymorph_mev_per_atom": 0.0
}

{
  "formula": "La12TbHo5",
  "functional": "GGA-PBE",
  "state": "optimized geometry",
  "lattice": [[11.554, 0.000, -0.011], [5.777, 9.091, -0.005], [0.005, 0.000, 6.050]],
  "species": ["La", "La", "La", "La", "La", "La", "La", "La", "La", "La", "La", "La", "Ho", "Ho", "Ho", "Ho", "Ho", "Tb"],
  "fractional_positions": [[0.844, 0.000, 0.500], [0.510, 0.666, 0.500], [0.156, 0.000, 0.500], [0.490, 0.334, 0.500], [0.343, 0.000, 0.000], [0.657, 0.000, 0.000], [0.823, 0.666, 0.500], [0.324, 0.664, 0.000], [0.012, 0.664, 0.000], [0.676, 0.336, 0.000], [0.988, 0.336, 0.000], [0.177, 0.334, 0.500], [0.334, 0.332, 0.000], [0.166, 0.667, 0.500], [0.666, 0.668, 0.000], [0.834, 0.333, 0.500], [0.500, 0.000, 0.500], [0.000, 0.000, 0.000]],
  "final_energy_ev_per_atom": -4.7187,
  "delta_e_f_ev_per_atom": 0.10
}